{"formula": "Ac3ScCo2O9", "functional": "PBE with a Hubbard U", "state": "optimized geometry", "dft_energy_ev_per_atom": -7.5161, "cell": [[5.584, 0.000, 0.000], [-2.792, 4.836, 0.000], [0.000, 0.000, 6.885]], "species": ["O", "O", "O", "O", "O", "O", "O", "O", "O", "Ac", "Ac", "Ac", "Sc", "Co", "Co"], "fractional_positions": [[0.345, 0.172, 0.676], [0.500, 0.500, 0.000], [0.172, 0.828, 0.324], [0.000, 0.500, 0.000], [0.655, 0.828, 0.324], [0.828, 0.655, 0.676], [0.828, 0.172, 0.676], [0.172, 0.345, 0.324], [0.500, 0.000, 0.000], [0.667, 0.333, 0.315], [0.000, 0.000, 0.000], [0.333, 0.667, 0.685], [0.000, 0.000, 0.500], [0.667, 0.333, 0.833], [0.333, 0.667, 0.167]]}